Record 1
! CeTa2Ru3, relaxed, DFT PBE-GGA; values from VASP
! Crystal system = tetragonal
! Spin magnetization = 0.00 μB per formula unit
! Volume = 105 Å³/cell
! Calculated formation energy = -0.407 eV/atom
&SYSTEM
  ibrav = 0, nat = 6, ntyp = 3
/
ATOMIC_SPECIES
Ce 140.12 Ce.upf
Ta 180.95 Ta.upf
Ru 101.07 Ru.upf
CELL_PARAMETERS angstrom
3.1361 0.0000 0.0000
0.0000 3.1361 0.0000
0.0000 0.0000 10.7246
ATOMIC_POSITIONS angstrom
Ce 0.0000 0.0000 0.0000
Ta 0.0000 0.0000 3.6796
Ta 0.0000 0.0000 7.0449
Ru 1.5681 1.5681 2.2315
Ru 1.5681 1.5681 5.3623
Ru 1.5681 1.5681 8.4930

=====

Record 2
! Ce2TaRu, relaxed, DFT PBE-GGA; values from VASP
! Crystal system = trigonal
! Spin magnetization = 0.00 μB per formula unit
! Volume = 82 Å³/cell
! Calculated formation energy = 0.352 eV/atom
&SYSTEM
  ibrav = 0, nat = 4, ntyp = 3
/
ATOMIC_SPECIES
Ce 140.12 Ce.upf
Ta 180.95 Ta.upf
Ru 101.07 Ru.upf
CELL_PARAMETERS angstrom
1.5077 0.8705 10.4232
-1.5077 0.8705 10.4232
0.0000 -1.7409 10.4232
ATOMIC_POSITIONS angstrom
Ce 0.0000 0.0000 2.8864
Ce 0.0000 0.0000 28.3833
Ta 0.0000 0.0000 0.0000
Ru 0.0000 0.0000 15.6349

=====

Record 3
! CeTaTcRu, relaxed, DFT PBE-GGA; values from VASP
! Crystal system = cubic
! Spin magnetization = 0.00 μB per formula unit
! Volume = 72 Å³/cell
! Calculated formation energy = -0.161 eV/atom
&SYSTEM
  ibrav = 0, nat = 4, ntyp = 4
/
ATOMIC_SPECIES
Ce 140.12 Ce.upf
Ta 180.95 Ta.upf
Tc 98.00 Tc.upf
Ru 101.07 Ru.upf
CELL_PARAMETERS angstrom
0.0000 3.3055 3.3055
3.3055 0.0000 3.3055
3.3055 3.3055 0.0000
ATOMIC_POSITIONS angstrom
Ce 0.0000 0.0000 0.0000
Ta 3.3055 3.3055 3.3055
Tc 1.6527 1.6527 1.6527
Ru 4.9582 4.9582 4.9582

=====

Record 4
! Tb5Ce2Ru5, relaxed, DFT PBE-GGA; values from VASP
! Crystal system = monoclinic
! Spin magnetization = 0.00 μB per formula unit
! Volume = 270 Å³/cell
! Calculated formation energy = -0.251 eV/atom
! Energy above the lowest structure with this stoichiometry = 0.030 eV per atom
&SYSTEM
  ibrav = 0, nat = 12, ntyp = 3
/
ATOMIC_SPECIES
Tb 158.93 Tb.upf
Ce 140.12 Ce.upf
Ru 101.07 Ru.upf
CELL_PARAMETERS angstrom
4.1901 -2.5358 0.0000
4.1901 2.5358 0.0000
-2.7935 0.0000 12.6999
ATOMIC_POSITIONS angstrom
Tb 0.0000 0.0000 0.0000
Tb -0.0106 0.0000 7.2349
Tb 0.0682 0.0000 10.7976
Tb 5.5186 0.0000 1.9023
Tb 5.5974 0.0000 5.4651
Ce 2.6622 0.0000 3.5107
Ce 2.9246 0.0000 9.1892
Ru 0.2563 0.0000 4.3047
Ru 2.7615 0.0000 0.9176
Ru 2.7934 0.0000 6.3500
Ru 2.8253 0.0000 11.7823
Ru 5.3305 0.0000 8.3952

=====

Record 5
! Tb2CeRu, relaxed, DFT PBE-GGA; values from VASP
! Crystal system = tetragonal
! Spin magnetization = 1.49 μB per formula unit
! Volume = 106 Å³/cell
! Calculated formation energy = -0.140 eV/atom
! Energy above the lowest structure with this stoichiometry = 0.170 eV per atom
&SYSTEM
  ibrav = 0, nat = 4, ntyp = 3
/
ATOMIC_SPECIES
Tb 158.93 Tb.upf
Ce 140.12 Ce.upf
Ru 101.07 Ru.upf
CELL_PARAMETERS angstrom
3.4245 0.0000 0.0000
0.0000 3.4245 0.0000
0.0000 0.0000 9.0135
ATOMIC_POSITIONS angstrom
Tb 0.0000 0.0000 1.6607
Tb 0.0000 0.0000 7.3528
Ce 1.7123 1.7123 4.5067
Ru 1.7123 1.7123 0.0000

=====

Record 6
! Tb3CeRu2, relaxed, DFT PBE-GGA; values from VASP
! Crystal system = orthorhombic
! Spin magnetization = 0.20 μB per formula unit
! Volume = 325 Å³/cell
! Calculated formation energy = -0.330 eV/atom
! Energy above the lowest structure with this stoichiometry = 0.000 eV per atom
&SYSTEM
  ibrav = 0, nat = 12, ntyp = 3
/
ATOMIC_SPECIES
Tb 158.93 Tb.upf
Ce 140.12 Ce.upf
Ru 101.07 Ru.upf
CELL_PARAMETERS angstrom
-3.3651 6.7598 3.5733
3.3651 -6.7598 3.5733
3.3651 6.7598 -3.5733
ATOMIC_POSITIONS angstrom
Tb 3.3651 -3.2348 1.7867
Tb 0.0000 0.0000 1.7867
Tb 3.3651 3.2348 1.7867
Tb 0.0000 3.5250 1.7867
Tb 0.0000 0.0000 5.3600
Tb 0.0000 9.9946 1.7867
Ce 3.3651 0.0000 0.0000
Ce 0.0000 6.7598 0.0000
Ru 1.6678 1.6752 0.0000
Ru 1.6678 -1.6752 3.5733
Ru 1.6974 8.4350 0.0000
Ru 1.6974 5.0846 3.5733

=====

no.,density of states at the Fermi level (states/eV per cell)
1,3.6
2,8.1
3,3.1
4,8.5
5,7.5
6,11.5